The following is a DFT calculation (PBE) of a relaxed structure of La2Zn5Pt4.

Computed properties:
SG = No. 69
V = 19.5 A^3/atom
ΔH_f (0 K) = -0.742 eV/atom
total moment = 0.00 μB per formula unit

Cell: 5.4016 5.5615 8.5975 Å, 81.23 71.69 60.95°
Sites, in units of the cell vectors:
La 0.8513 0.0000 0.2974
La 0.1487 0.0000 0.7026
Zn 0.5000 0.0000 0.0000
Zn 0.0000 0.5000 0.0000
Zn 0.5000 0.5000 0.0000
Zn 0.2500 0.5000 0.5000
Zn 0.7500 0.5000 0.5000
Pt 0.7818 0.6927 0.7436
Pt 0.2182 0.3073 0.2564
Pt 0.5255 0.6927 0.2564
Pt 0.4745 0.3073 0.7436

=====

The following is a DFT calculation (PBE) of a relaxed structure of BeHgOs2.

Computed properties:
SG = No. 119
V = 14.7 A^3/atom
ΔH_f (0 K) = 0.756 eV/atom
total moment = 0.00 μB per formula unit

Cell: 4.6393 4.6393 4.6393 Å, 128.92 128.92 75.14°
Sites, in units of the cell vectors:
Be 0.5000 0.5000 0.0000
Os 0.0000 0.0000 0.0000
Os 0.2500 0.7500 0.5000
Hg 0.7500 0.2500 0.5000

=====

The following is a DFT calculation (PBE) of a relaxed structure of Nd3Dy6Y2Er.

Computed properties:
SG = No. 12
V = 32.4 A^3/atom
ΔH_f (0 K) = 0.019 eV/atom
total moment = 0.00 μB per formula unit

Cell: 6.2039 6.2039 11.8488 Å, 94.99 94.99 119.97°
Sites, in units of the cell vectors:
Nd 0.1665 0.8335 0.5000
Nd 0.8335 0.1665 0.5000
Nd 0.5000 0.5000 0.5000
Dy 0.9176 0.5852 0.7534
Dy 0.7499 0.7499 0.2466
Dy 0.0824 0.4148 0.2466
Dy 0.5852 0.9176 0.7534
Dy 0.2501 0.2501 0.7534
Dy 0.4148 0.0824 0.2466
Y 0.3333 0.6667 0.0000
Y 0.6667 0.3333 0.0000
Er 0.0000 0.0000 0.0000

=====

The following is a DFT calculation (PBE) of a relaxed structure of PmSmHSe2.

Computed properties:
E = -5.49 eV/atom
SG = No. 129
V = 21.5 A^3/atom
total moment = 0.00 μB per formula unit

Cell: 4.0483 4.0483 13.1468 Å, 90.00 90.00 90.00°
Sites, in units of the cell vectors:
Pm 0.5000 0.0000 0.6054
Pm 0.0000 0.5000 0.3946
Sm 0.5000 0.0000 0.0966
Sm 0.0000 0.5000 0.9034
H 0.0000 0.0000 0.5000
H 0.5000 0.5000 0.5000
Se 0.0000 0.5000 0.6738
Se 0.0000 0.5000 0.1332
Se 0.5000 0.0000 0.8668
Se 0.5000 0.0000 0.3262

=====

The following is a DFT calculation (PBE) of a relaxed structure of PrTl2AsS4.

Computed properties:
SG = No. 74
energy relative to the elements, uncorrected = -568 kJ/mol of formula units
V = 26.0 A^3/atom
total moment = 0.00 μB per formula unit

Cell: 8.3843 8.3843 8.5351 Å, 120.59 120.59 90.04°
Sites, in units of the cell vectors:
Pr 0.0000 0.5000 0.0000
Pr 0.0000 0.5000 0.5000
Tl 0.5000 0.0000 0.0000
Tl 0.5000 0.0000 0.5000
Tl 0.0000 0.0000 0.5000
Tl 0.5000 0.5000 0.0000
As 0.5000 0.5000 0.5000
As 0.0000 0.0000 0.0000
S 0.2030 0.7544 0.9787
S 0.7456 0.2970 0.5213
S 0.2544 0.7030 0.4787
S 0.7970 0.2456 0.0213
S 0.7589 0.7408 0.9550
S 0.7592 0.7411 0.5450
S 0.2408 0.2589 0.4550
S 0.2411 0.2592 0.0450

=====

The following is a DFT calculation (PBE) of a relaxed structure of V4AsN.

Computed properties:
SG = No. 109
energy relative to the elements, uncorrected = -149 kJ/mol of formula units
V = 14.4 A^3/atom
total moment = 1.05 μB per formula unit

Cell: 6.0717 6.0717 6.0717 Å, 109.54 109.54 109.34°
Site moments in Bohr magnetons follow the coordinates.
Sites, in units of the cell vectors:
V 0.2969 0.9692 0.6723  -0.24
V 0.7006 0.4148 0.7142  0.74
V 0.7192 0.5469 0.1723  -0.24
V 0.1648 0.9506 0.2142  0.74
V 0.3746 0.5469 0.8277  -0.24
V 0.7364 0.9506 0.7858  0.74
V 0.7006 0.9864 0.2858  0.74
V 0.2969 0.6246 0.3277  -0.24
As 0.2319 0.2319 0.0000  0.00
As 0.9819 0.4819 0.5000  0.00
N 0.7730 0.7730 0.0000  -0.03
N 0.5230 0.0230 0.5000  -0.03

=====

The following is a DFT calculation (PBE) of a relaxed structure of LaDyNiAg.

Computed properties:
SG = No. 216
V = 23.6 A^3/atom
ΔH_f (0 K) = -0.244 eV/atom
total moment = 0.00 μB per formula unit

Cell: 5.1120 5.1120 5.1120 Å, 60.00 60.00 60.00°
Sites, in units of the cell vectors:
Ni 0.7500 0.7500 0.7500
La 0.5000 0.5000 0.5000
Ag 0.2500 0.2500 0.2500
Dy 0.0000 0.0000 0.0000